(1)
This record from Alexandria describes a relaxed structure of Na2SrCu2. The functional is PBE-GGA.

Computed properties:
E above lowest polymorph = 0.890 eV per formula unit

a = 8.4876 Å, b = 8.4876 Å, c = 3.4283 Å
α = 90.00°, β = 90.00°, γ = 90.00°
Fractional coordinates of all 10 atoms:
Na: 0.3822 0.8822 0.0000
Na: 0.1178 0.3822 0.0000
Cu: 0.3170 0.1830 0.5000
Cu: 0.8170 0.3170 0.5000
Cu: 0.1830 0.6830 0.5000
Na: 0.6178 0.1178 0.0000
Sr: 0.0000 0.0000 0.0000
Sr: 0.5000 0.5000 0.0000
Cu: 0.6830 0.8170 0.5000
Na: 0.8822 0.6178 0.0000

(2)
This record from Alexandria describes a relaxed structure of NaSr3Cu. The functional is PBE-GGA.

Computed properties:
E above lowest polymorph = 3.399 eV per formula unit

a = 6.3729 Å, b = 6.3729 Å, c = 6.3729 Å
α = 90.00°, β = 90.00°, γ = 90.00°
Fractional coordinates of all 5 atoms:
Cu: 0.5000 0.5000 0.5000
Sr: 0.5000 0.0000 0.0000
Na: 0.0000 0.0000 0.0000
Sr: 0.0000 0.5000 0.0000
Sr: 0.0000 0.0000 0.5000

(3)
This record from Alexandria describes a relaxed structure of NaSr6Cu2. The functional is PBE-GGA.

a = 9.7859 Å, b = 9.7859 Å, c = 9.7859 Å
α = 105.71°, β = 109.96°, γ = 112.82°
Fractional coordinates of all 18 atoms:
Cu: 0.6139 0.0000 0.6139
Sr: 0.7888 0.7729 0.5617
Sr: 0.7888 0.2271 0.0159
Cu: 0.3861 0.0000 0.3861
Sr: 0.4812 0.2979 0.1833
Cu: 0.5000 0.6079 0.1079
Sr: 0.1146 0.2979 0.8167
Sr: 0.2112 0.2271 0.4383
Sr: 0.6934 0.3738 0.6804
Na: 0.0000 0.5000 0.5000
Sr: 0.6934 0.0130 0.3196
Sr: 0.3066 0.9870 0.6804
Sr: 0.8854 0.7021 0.1833
Na: 0.0000 0.0000 0.0000
Sr: 0.3066 0.6262 0.3196
Cu: 0.5000 0.3921 0.8921
Sr: 0.2112 0.7729 0.9841
Sr: 0.5188 0.7021 0.8167

(4)
This record from Alexandria describes a relaxed structure of NaSr2YCu. The functional is PBE-GGA.

a = 6.0883 Å, b = 6.0883 Å, c = 5.4256 Å
α = 90.00°, β = 90.00°, γ = 90.00°
Fractional coordinates of all 5 atoms:
Y: 0.0000 0.0000 0.5000
Na: 0.5000 0.5000 0.5000
Sr: 0.5000 0.0000 0.0000
Sr: 0.0000 0.5000 0.0000
Cu: 0.0000 0.0000 0.0000

no.,spin magnetization (μB per formula unit),E_tot (eV per atom),formation enthalpy at 0 K (kJ/mol of formula units)
1,0.0,-2.23,131.7
2,0.0,-1.41,327.5
3,0.0,-2.20,-21.3
4,0.0,-2.94,54.7